A plane-wave DFT calculation with GGA+U was carried out for LiMn6P7O24 after structural relaxation.

Computed properties:
SG ... No. 11
Total DFT energy (no corrections) ... -571.4 eV/cell
Calculated volume ... 939.4 Å³/cell
D(E_F) ... 0.0 states/eV per cell

Cell: 27.185 5.458 6.648 Å, 72.24 90.00 90.00°
Atoms (fractional coordinates):
Mn 0.902 0.793 0.087
Mn 0.955 0.189 0.313
Mn 0.598 0.793 0.087
Mn 0.098 0.207 0.913
Mn 0.181 0.873 0.284
Mn 0.045 0.811 0.687
Mn 0.545 0.189 0.313
Mn 0.319 0.873 0.284
Mn 0.455 0.811 0.687
Mn 0.819 0.127 0.716
Mn 0.402 0.207 0.913
Mn 0.681 0.127 0.716
O 0.478 0.849 0.370
O 0.047 0.868 0.998
O 0.355 0.520 0.384
O 0.022 0.849 0.370
O 0.526 0.592 0.174
O 0.305 0.874 0.607
O 0.444 0.446 0.289
O 0.836 0.066 0.051
O 0.378 0.156 0.235
O 0.855 0.480 0.616
O 0.204 0.510 0.950
O 0.750 0.805 0.760
O 0.336 0.934 0.949
O 0.978 0.151 0.630
O 0.704 0.490 0.050
O 0.622 0.844 0.765
O 0.122 0.156 0.235
O 0.695 0.126 0.393
O 0.474 0.408 0.826
O 0.595 0.860 0.396
O 0.056 0.446 0.289
O 0.944 0.554 0.711
O 0.547 0.132 0.002
O 0.195 0.874 0.607
O 0.796 0.490 0.050
O 0.805 0.126 0.393
O 0.645 0.480 0.616
O 0.145 0.520 0.384
O 0.664 0.066 0.051
O 0.405 0.140 0.604
O 0.296 0.510 0.950
O 0.953 0.132 0.002
O 0.974 0.592 0.174
O 0.095 0.140 0.604
O 0.379 0.609 0.797
O 0.905 0.860 0.396
O 0.250 0.195 0.240
O 0.026 0.408 0.826
O 0.878 0.844 0.765
O 0.453 0.868 0.998
O 0.556 0.554 0.711
O 0.750 0.325 0.780
O 0.621 0.391 0.203
O 0.164 0.934 0.949
O 0.522 0.151 0.630
O 0.121 0.609 0.797
O 0.250 0.675 0.220
O 0.879 0.391 0.203
P 0.832 0.250 0.184
P 0.892 0.683 0.618
P 0.608 0.683 0.618
P 0.332 0.750 0.816
P 0.750 0.525 0.897
P 0.976 0.295 0.795
P 0.024 0.705 0.205
P 0.168 0.750 0.816
P 0.108 0.317 0.382
P 0.392 0.317 0.382
P 0.250 0.475 0.103
P 0.524 0.295 0.795
P 0.476 0.705 0.205
P 0.668 0.250 0.184
Li 0.750 0.901 0.449
Li 0.250 0.099 0.551